Density functional theory data (PBE+U) for a geometry-optimized FeBi2IrO8 structure.

It has space group P2/m (No. 10), with a = 4.878 Å, b = 6.689 Å, c = 4.905 Å, α = 90.00°, β = 90.71° and γ = 90.00°. The inequivalent atoms are Fe at (0.000, 0.000, 0.000), Bi at (0.500, 0.248, 0.500), Ir at (0.000, 0.500, 0.000), O at (0.192, 0.258, 0.841), O at (0.251, 0.500, 0.303) and O at (0.279, 0.000, 0.301).

The total energy is -6.1081 eV per atom. The crystal system is monoclinic. As for the volume: 13.34 A^3/atom. The density of states at the Fermi level comes out at 0.3108 states/eV per atom.